Record 1
DFT (GGA-PBEsol) results for a relaxed structure of ZnRuCl2.

Summary:
Excess energy over the best structure of this formula in the dataset: 1.94 eV/f.u.
Uncorrected energy: -28.804 eV per cell
ρ: 6.1 Mg/m³
ΔE_f (raw): 0.342 eV/atom

a b c (Å): 5.884 7.891 3.272
angles (deg): 90.00 121.77 90.00
Space group C2/m (No. 12)
Symmetry-distinct sites (fractional):
Zn: 0.000 0.000 0.000 [2 per cell]
Ru: 0.000 0.500 0.000 [2 per cell]
Cl: 0.250 0.250 0.000 [4 per cell]

=====

Record 2
DFT (GGA-PBEsol) results for a relaxed structure of SrTiP2O8.

Summary:
Uncorrected energy: -386.520 eV per cell
ρ: 3.5 Mg/m³
ΔE_f (raw): -2.741 eV/atom

a b c (Å): 16.480 5.188 8.165
angles (deg): 90.00 117.03 90.00
Space group C2/c (No. 15)
Symmetry-distinct sites (fractional):
Sr: 0.000 0.180 0.250 [4 per cell]
Ti: 0.250 0.250 0.500 [4 per cell]
P: 0.142 0.263 0.754 [8 per cell]
O: 0.047 0.216 0.601 [8 per cell]
O: 0.145 0.476 0.351 [8 per cell]
O: 0.165 0.041 0.898 [8 per cell]
O: 0.216 0.270 0.691 [8 per cell]

=====

Record 3
DFT (GGA-PBEsol) results for a relaxed structure of ZnSb2Os.

Summary:
Uncorrected energy: -22.060 eV per cell
ρ: 10.5 Mg/m³
ΔE_f (raw): 0.213 eV/atom

a b c (Å): 3.199 3.199 7.722
angles (deg): 90.00 90.00 90.00
Space group P4mm (No. 99)
Symmetry-distinct sites (fractional):
Zn: 0.000 0.000 0.000 [1 per cell]
Sb: 0.000 0.000 0.379 [1 per cell]
Sb: 0.500 0.500 0.765 [1 per cell]
Os: 0.500 0.500 0.171 [1 per cell]

=====

Q: ΔE_f (raw) of number 3 (ZnSb2Os)?
A: 0.213 eV/atom

=====

Q: Which of these has the highest uncorrected energy?
A: ZnSb2Os

=====

Q: What is the formula in the first record?
A: ZnRuCl2